1.
This record from Alexandria via LeMat-Bulk describes crystalline Sn3MoRu at its relaxed geometry. The functional is PBE.

## Properties
ΔE_f   84.5 kJ per mole of atoms
Polymorph energy (0 for the lowest one)   0.0 meV per atom
DOS(E_F)   2.544 states/eV per cell
Density   6.831 g cm⁻³
Total energy   -5.548 eV/atom

The structure in CIF format:
```
data_Sn3MoRu
_cell_length_a 5.123
_cell_length_b 5.123
_cell_length_c 5.123
_cell_angle_alpha 90.00
_cell_angle_beta 90.00
_cell_angle_gamma 90.00
_symmetry_space_group_name_H-M 'P m -3 m'
_symmetry_Int_Tables_number 221
_symmetry_space_group_name_Hall '-P 4 2 3'
loop_
_atom_site_label
_atom_site_type_symbol
_atom_site_fract_x
_atom_site_fract_y
_atom_site_fract_z
Sn1 Sn 0.000 0.000 0.500
Mo1 Mo 0.500 0.500 0.500
Ru1 Ru 0.000 0.000 0.000
```


2.
This record from Alexandria via LeMat-Bulk describes crystalline Tm2Pu3UAs6 at its relaxed geometry. The functional is PBE.

## Properties
ΔE_f   -107.7 kJ per mole of atoms
DOS(E_F)   76.584 states/eV per cell
Density   9.981 g cm⁻³
Total energy   -8.710 eV/atom

The structure in CIF format:
```
data_Tm2Pu3UAs6
_cell_length_a 17.867
_cell_length_b 4.107
_cell_length_c 8.186
_cell_angle_alpha 90.00
_cell_angle_beta 103.25
_cell_angle_gamma 90.00
_symmetry_space_group_name_H-M 'C 1 2/m 1'
_symmetry_Int_Tables_number 12
_symmetry_space_group_name_Hall '-C 2y'
loop_
_atom_site_label
_atom_site_type_symbol
_atom_site_fract_x
_atom_site_fract_y
_atom_site_fract_z
Tm1 Tm 0.167 0.000 0.335
Pu1 Pu 0.000 0.500 0.500
Pu2 Pu 0.168 0.000 0.831
U1 U 0.000 0.500 0.000
As1 As 0.001 0.000 0.247
As2 As 0.165 0.500 0.083
As3 As 0.168 0.500 0.582
```